Density functional theory data (GGA-PBE) for a relaxed PrThPd4 crystal.

a b c (Å): 5.539 5.539 5.539
angles (deg): 60.00 60.00 60.00
Positions (direct):
Pr 0.000 0.000 0.000
Th 0.250 0.250 0.250
Pd 0.126 0.625 0.625
Pd 0.625 0.126 0.625
Pd 0.625 0.625 0.126
Pd 0.625 0.625 0.625

- Mass density: 11.0 g cm⁻³
- Calculated volume: 20.0 Å³ per atom
- VASP energy: -6.200 eV per atom